[1]
10
Lattice="-3.839 1.311 -1.156 1.456 -1.832 -6.915 -2.798 -6.336 2.109" Properties=species:S:1:pos:R:3 comment="LiMgInHg2 | the Alexandria database | PBE | optimized geometry" dft_energy_ev_per_atom=-1.55 magnetic_moment_mub_per_fu=0.00 pbc="T T T"
Mg -3.163 -1.924 -3.222
Hg -0.565 -0.606 -2.659
Li -0.545 -2.573 -4.957
In -3.295 -0.150 -0.769
Hg -4.616 -6.252 -3.303
Li -4.636 -4.284 -1.005
Hg -3.144 -3.807 -5.417
Mg -2.018 -4.934 -2.740
Hg -2.036 -3.051 -0.545
In -1.885 -6.708 -5.193

[2]
14
Lattice="-0.049 -2.051 -5.278 9.546 0.400 -0.244 -4.373 -7.908 3.113" Properties=species:S:1:pos:R:3 comment="Tb3PrTm3 | the Alexandria database | PBE | optimized geometry" dft_energy_ev_per_atom=-4.57 de_polymorph_mev_per_atom=0 magnetic_moment_mub_per_fu=0.00 pbc="T T T"
Tm -1.183 -4.244 0.142
Tb -0.613 -3.402 -3.229
Tb 1.433 -1.914 -0.788
Tm 2.848 -4.360 -2.888
Tm 6.307 -5.314 -2.550
Tm 2.276 -5.198 0.480
Tb 7.513 -0.575 -1.365
Pr 0.229 -6.677 -1.964
Tb -2.389 -8.983 -1.043
Tm 5.454 -2.047 -3.811
Tb 3.690 -7.644 -1.620
Pr 4.895 -2.882 -0.444
Tb 5.736 -6.156 0.821
Tm -0.330 -7.511 1.403

[3]
4
Lattice="-3.124 -2.680 -0.195 0.764 -4.042 -0.230 -0.866 -2.639 6.595" Properties=species:S:1:pos:R:3 comment="PmPuPSe | the Alexandria database | PBE | optimized geometry" dft_energy_ev_per_atom=-8.58 raw_formation_energy_ev_per_atom=-1.586 magnetic_moment_mub_per_fu=5.46 pbc="T T T"
Se -2.419 -7.018 4.577
Pm -2.361 -6.728 -0.324
Pu -1.612 -4.674 2.983
P -0.807 -2.343 1.594

[4]
12
Lattice="5.251 -0.028 -0.003 0.012 5.245 -0.006 0.004 0.008 7.118" Properties=species:S:1:pos:R:3 comment="PrPuPb2O8 | the Alexandria database | PBE | optimized geometry" dft_energy_ev_per_atom=-7.45 raw_formation_energy_ev_per_atom=-1.930 magnetic_moment_mub_per_fu=1.38 pbc="T T T"
Pr 0.002 0.004 3.559
O 3.782 3.757 7.111
Pb 2.633 2.611 1.766
O 0.957 4.301 5.594
O 0.954 4.297 1.513
O 1.485 1.468 -0.003
O 1.666 1.656 3.556
Pu 0.000 0.000 0.000
Pb 2.635 2.615 5.342
O 3.602 3.570 3.553
O 4.311 0.924 1.515
O 4.313 0.929 5.596

[5]
16
Lattice="5.655 -0.011 0.000 0.013 5.655 0.000 0.000 0.000 9.295" Properties=species:S:1:pos:R:3 comment="AlGa14Ag | the Alexandria database | PBE | optimized geometry" dft_energy_ev_per_atom=-3.03 magnetic_moment_mub_per_fu=0.00 pbc="T T T"
Ga 3.542 3.527 6.930
Ga 4.961 2.119 0.000
Ga 0.696 0.693 2.366
Ga 4.967 4.946 0.000
Ga 3.538 0.685 2.366
Ga 0.701 3.536 2.366
Ga 2.140 4.952 0.000
Ga 3.542 3.527 2.365
Ga 3.538 0.685 6.929
Ga 0.701 3.536 6.929
Ga 2.133 2.124 0.000
Ag 2.131 2.122 4.647
Ga 2.134 4.949 4.647
Ga 4.958 2.113 4.647
Al 4.961 4.940 4.647
Ga 0.696 0.693 6.929

[6]
4
Lattice="4.546 0.000 0.000 0.000 4.245 0.000 0.000 0.000 11.822" Properties=species:S:1:pos:R:3 comment="K3Zn | the Alexandria database | PBE | optimized geometry" dft_energy_ev_per_atom=-0.99 magnetic_moment_mub_per_fu=0.00 pbc="T T T"
K 2.273 0.000 8.993
K 0.000 2.123 5.392
K 2.273 2.123 1.544
Zn 0.000 0.000 11.655

[7]
4
Lattice="-7.984 5.470 0.096 -8.232 3.835 3.348 -6.185 6.830 2.963" Properties=species:S:1:pos:R:3 comment="LaAgHg2 | the Alexandria database | PBE | optimized geometry" dft_energy_ev_per_atom=-2.14 magnetic_moment_mub_per_fu=0.00 pbc="T T T"
Hg -5.736 4.131 1.640
La -11.122 8.011 3.181
Ag -16.659 11.999 4.764
Hg -0.086 0.062 0.024

[8]
3
Lattice="3.534 0.000 0.000 0.000 4.464 0.000 0.000 -2.232 3.866" Properties=species:S:1:pos:R:3 comment="TmNiSn | the Alexandria database | PBE | optimized geometry" dft_energy_ev_per_atom=-5.34 magnetic_moment_mub_per_fu=0.00 pbc="T T T"
Ni 0.588 0.000 0.000
Tm 2.357 2.232 1.289
Sn 0.590 0.000 2.577

[9]
5
Lattice="-3.285 -1.279 1.826 2.229 -1.918 2.667 0.030 4.210 3.002" Properties=species:S:1:pos:R:3 comment="HfPIO2 | the Alexandria database | PBE | optimized geometry" dft_energy_ev_per_atom=-5.23 raw_formation_energy_ev_per_atom=0.136 de_polymorph_mev_per_atom=1484 magnetic_moment_mub_per_fu=0.00 pbc="T T T"
I 0.015 2.105 1.501
Hf -0.513 0.507 3.748
P 0.000 0.000 0.000
O -1.642 -0.639 0.913
O 1.115 -0.959 1.334

[10]
80
Lattice="-2.271 10.154 6.570 -10.581 -4.503 -4.380 5.378 -8.418 7.186" Properties=species:S:1:pos:R:3 comment="Sc12H5Au3 | the Alexandria database | PBE | optimized geometry" dft_energy_ev_per_atom=-5.52 magnetic_moment_mub_per_fu=0.00 pbc="T T T"
Au -5.509 -8.984 2.378
H -2.825 1.630 2.267
Au -1.354 -1.656 7.853
Sc -2.771 3.353 3.264
H 2.689 -4.209 3.593
H -4.567 -0.243 8.401
Sc -7.290 -1.830 -0.975
Sc -0.184 -0.937 10.351
Sc -0.419 4.388 5.445
Sc -2.688 -8.565 2.505
Sc -5.115 -2.964 5.807
H -4.649 -4.397 7.109
Sc -7.924 0.996 0.847
Sc 0.213 3.592 9.898
Sc 1.121 -1.430 6.449
Sc 0.344 -3.981 3.277
Au -7.600 -1.586 5.586
Au -5.426 -4.831 3.670
Sc -6.910 -3.848 1.439
Sc 1.704 1.251 11.900
Au -1.965 6.218 6.998
Sc -4.703 -6.120 6.112
Sc -3.996 -1.502 -0.343
H -2.602 -6.461 1.403
H -9.333 0.302 2.070
Sc -3.507 -0.166 6.717
Au -2.475 -7.642 5.193
H 1.859 -3.069 7.306
Sc -6.322 -1.131 8.093
Sc -8.595 -1.337 2.927
Sc -4.630 1.318 1.488
Sc -2.703 6.569 4.268
Au 0.126 -1.181 3.790
Sc -4.771 -9.336 5.109
H -2.907 -2.524 0.975
Sc -2.358 0.197 3.569
Sc -7.509 5.693 5.255
Sc -7.687 -6.359 -0.522
Sc -9.178 -4.018 -2.524
Au -2.048 2.064 5.706
Sc 2.340 -4.430 5.934
Sc -2.497 3.624 8.054
Sc -9.814 1.663 3.442
Sc -4.846 2.580 5.873
Au -6.120 -1.111 1.523
H 0.000 0.000 0.000
Au -4.999 4.875 4.183
H -9.154 -2.454 -1.292
H -1.271 2.498 9.145
Sc 3.840 -6.767 7.933
Sc -5.651 -0.084 4.140
Sc -4.786 5.798 6.871
H -6.300 1.644 4.885
H -1.135 5.077 3.285
Sc -7.818 1.214 6.099
Sc -0.590 -5.636 5.949
H -1.174 -4.411 4.491
Au -9.251 4.455 3.362
Sc -1.152 -1.636 1.283
H -6.426 2.826 1.095
H -6.203 -5.265 0.231
Sc -8.055 -4.221 4.587
Sc 0.581 1.454 4.790
Sc -1.823 -2.682 5.236
Sc -7.055 -7.155 3.932
Au 1.777 -7.222 6.014
Sc -4.976 -6.391 1.323
Sc -2.844 -4.085 7.889
Sc -6.884 2.869 3.427
Sc 0.450 -3.763 8.529
Sc 0.036 -8.460 4.121
Sc -3.478 -1.265 9.719
H -3.737 -1.383 4.688
Sc -2.628 -5.346 3.503
Sc -3.967 -2.601 2.659
H 1.554 0.868 6.878
Sc -0.563 1.081 7.938
Sc -11.314 4.000 1.443
H -5.291 -2.252 -2.190
H 1.680 -0.313 10.668

[11]
4
Lattice="-1.653 3.100 -0.192 -3.136 0.420 1.539 2.081 3.559 7.291" Properties=species:S:1:pos:R:3 comment="NpPtS2 | the Alexandria database | PBE | optimized geometry" dft_energy_ev_per_atom=-6.85 raw_formation_energy_ev_per_atom=-0.038 magnetic_moment_mub_per_fu=4.78 pbc="T T T"
Pt -1.354 3.539 4.319
Np 0.000 0.000 0.000
S 0.840 2.754 4.982
S -3.548 4.325 3.656

[12]
5
Lattice="-1.393 0.459 -4.390 -2.402 -3.941 0.350 -3.704 2.384 1.425" Properties=species:S:1:pos:R:3 comment="LiLaV3 | the Alexandria database | PBE | optimized geometry" dft_energy_ev_per_atom=-5.73 de_polymorph_mev_per_atom=0 magnetic_moment_mub_per_fu=8.11 pbc="T T T"
Li 0.000 0.000 0.000
V -0.697 0.230 -2.195
V -1.852 1.192 0.712
V -1.201 -1.971 0.175
La -3.750 -0.549 -1.308

[13]
10
Lattice="-0.462 3.623 3.169 -6.746 -0.336 -0.598 -0.055 -7.427 4.793" Properties=species:S:1:pos:R:3 comment="Pm2CuPb2 | the Alexandria database | PBE | optimized geometry" dft_energy_ev_per_atom=-4.54 magnetic_moment_mub_per_fu=0.00 pbc="T T T"
Pm -6.628 -2.784 2.217
Cu -6.820 -5.050 4.779
Pb -6.974 -2.301 5.303
Pb -3.271 -1.988 1.796
Pm -4.940 -0.279 -0.401
Cu -3.483 0.758 2.315
Pm -2.080 -3.850 7.787
Pm -3.521 -1.500 4.891
Pb -3.555 -4.786 4.953
Pb -6.974 0.483 2.121

[14]
11
Lattice="-1.530 -4.456 -2.900 7.034 -1.187 -1.854 -1.675 -1.803 9.305" Properties=species:S:1:pos:R:3 comment="Na8LiHg2 | the Alexandria database | PBE | optimized geometry" dft_energy_ev_per_atom=-1.27 de_polymorph_mev_per_atom=0 magnetic_moment_mub_per_fu=0.00 pbc="T T T"
Na 3.259 -4.494 3.532
Na 5.442 -4.703 -2.737
Na -0.782 -4.783 6.132
Hg 2.653 -4.634 -1.270
Na -2.352 -5.368 2.484
Li 5.066 -3.403 6.274
Na 0.927 -5.623 1.164
Na 4.978 -3.062 0.342
Na 1.596 -2.193 0.772
Na 1.922 -2.899 7.075
Hg 0.264 -3.516 3.537

[15]
5
Lattice="-4.910 -1.970 1.833 -1.105 -2.003 -5.110 2.522 -4.978 1.406" Properties=species:S:1:pos:R:3 comment="TaSbI2Br | the Alexandria database | PBE | optimized geometry" dft_energy_ev_per_atom=-2.57 raw_formation_energy_ev_per_atom=1.581 de_polymorph_mev_per_atom=1397 magnetic_moment_mub_per_fu=2.65 pbc="T T T"
Br 0.000 0.000 0.000
I -0.552 -1.002 -2.555
Sb 1.261 -2.489 0.703
Ta -1.746 -4.475 -0.935
I -2.455 -0.985 0.917

[16]
8
Lattice="-3.836 1.116 1.230 -2.728 -5.908 -3.145 -0.064 -5.461 4.757" Properties=species:S:1:pos:R:3 comment="Ce2SmTmAs4 | the Alexandria database | PBE | optimized geometry" dft_energy_ev_per_atom=-6.43 magnetic_moment_mub_per_fu=1.27 pbc="T T T"
As -4.537 -1.757 1.650
Ce -1.950 -2.172 2.993
Tm -1.396 -5.684 0.806
As -2.660 -5.008 3.351
Sm -3.282 -2.396 -0.958
As -2.090 -8.496 1.192
As -3.967 -5.244 -0.510
Ce -0.064 -5.461 4.757

[17]
19
Lattice="-3.774 2.532 2.483 4.069 -1.868 2.690 2.557 5.438 -1.660" Properties=species:S:1:pos:R:3 comment="Ta5Fe2H12 | the Alexandria database | PBE | optimized geometry" dft_energy_ev_per_atom=-6.15 magnetic_moment_mub_per_fu=0.01 pbc="T T T"
Fe -0.893 0.599 0.588
H -0.618 5.080 2.279
H 4.419 4.038 0.616
H -0.181 1.135 1.985
H 3.034 4.967 1.528
Ta 1.233 5.479 1.687
H 0.439 1.557 4.481
Ta 3.133 2.936 1.768
H 0.385 5.841 0.028
H 2.413 4.545 -0.968
H -1.567 2.065 2.896
H 2.468 0.261 3.485
H 1.375 2.429 2.612
Ta -0.281 3.167 1.745
H 3.471 1.023 1.233
H 1.477 3.674 0.901
Fe -2.881 1.933 1.895
Ta 1.619 0.624 1.825
Ta 1.278 2.719 -0.830

[18]
4
Lattice="3.642 0.000 0.000 1.821 3.154 0.000 1.821 1.051 6.171" Properties=species:S:1:pos:R:3 comment="Nb2SiGe | the Alexandria database | PBE | optimized geometry" dft_energy_ev_per_atom=-7.76 raw_formation_energy_ev_per_atom=-0.217 magnetic_moment_mub_per_fu=0.00 pbc="T T T"
Nb 5.463 3.154 4.771
Nb 1.821 1.051 1.400
Ge 3.642 2.103 3.086
Si 0.000 0.000 0.000

[19]
6
Lattice="-0.014 1.168 3.770 -3.249 0.408 -2.204 -2.275 -6.797 2.097" Properties=species:S:1:pos:R:3 comment="SiBAu | the Alexandria database | PBE | optimized geometry" dft_energy_ev_per_atom=-4.50 raw_formation_energy_ev_per_atom=0.622 magnetic_moment_mub_per_fu=0.00 pbc="T T T"
Au -2.799 -4.184 3.352
B -1.707 -5.098 1.573
B -0.569 -1.699 0.524
Si -1.138 -3.399 1.048
Si 0.000 0.000 0.000
Au -2.739 -1.038 0.312

[20]
6
Lattice="0.000 3.999 3.999 3.999 0.000 3.999 3.999 3.999 0.000" Properties=species:S:1:pos:R:3 comment="Zr4InTc | the Alexandria database | PBE | optimized geometry" dft_energy_ev_per_atom=-7.50 de_polymorph_mev_per_atom=294 magnetic_moment_mub_per_fu=0.00 pbc="T T T"
In 5.999 5.999 5.999
Zr 5.014 2.985 5.014
Zr 2.985 2.985 2.985
Tc 0.000 0.000 0.000
Zr 2.985 5.014 5.014
Zr 5.014 5.014 2.985